No. 1
The following is a PBE calculation of YOF3 after structural relaxation, from Alexandria.

Calculated density (g/cm3): 3.562
VASP energy (eV per atom): -6.087
Distance to the lowest polymorph of the same formula (meV per atom): 0
Symmetry: No. 11
Magnetization (μB per formula unit): 2.00

Cell: 7.2104 5.9114 7.1542 Å, 98.14 90.00 90.00°
Last column: nearest neighbours and their distance in Å.
Fractional positions:
Y: 0.7500 0.5868 0.4823  6 F 2.19-2.28
Y: 0.2500 0.4132 0.5177  6 F 2.19-2.28
Y: 0.2500 0.9132 0.0177  6 F 2.19-2.28
Y: 0.7500 0.0868 0.9823  6 F 2.19-2.28
O: 0.7501 0.4166 0.7879  2 F 2.24
O: 0.2499 0.5834 0.2121  2 F 2.24
O: 0.2501 0.0834 0.7121  2 F 2.24
O: 0.7499 0.9166 0.2879  2 F 2.24
F: 0.7501 0.3896 0.1995  2 Y 2.19-2.20
F: 0.2499 0.6104 0.8005  2 Y 2.19-2.20
F: 0.2501 0.1104 0.3005  2 Y 2.19-2.20
F: 0.7499 0.8896 0.6995  2 Y 2.19-2.20
F: 0.4497 0.6898 0.4486  1 O 2.24, 2 Y 2.27-2.28
F: 0.5503 0.3102 0.5514  1 O 2.24, 2 Y 2.27-2.28
F: 0.9497 0.8102 0.0514  1 O 2.24, 2 Y 2.27-2.28
F: 0.0503 0.1898 0.9486  1 O 2.24, 2 Y 2.27-2.28
F: 0.0503 0.6899 0.4488  1 O 2.24, 2 Y 2.27-2.28
F: 0.9497 0.3101 0.5512  1 O 2.24, 2 Y 2.27-2.28
F: 0.5503 0.8101 0.0512  1 O 2.24, 2 Y 2.27-2.28
F: 0.4497 0.1899 0.9488  1 O 2.24, 2 Y 2.27-2.28

---

No. 2
The following is a PBE calculation of YOF after structural relaxation, from Alexandria.

Calculated density (g/cm3): 4.970
VASP energy (eV per atom): -8.278
Symmetry: No. 129
Magnetization (μB per formula unit): 0.00

Cell: 3.8739 3.8739 5.5175 Å, 90.00 90.00 90.00°
Last column: nearest neighbours and their distance in Å.
Fractional positions:
F: 0.0000 0.0000 0.0000  4 Y 2.51, 4 F 2.74, 2 O 2.76
F: 0.5000 0.5000 0.0000  4 Y 2.51, 4 F 2.74, 2 O 2.76
O: 0.0000 0.0000 0.5000  4 Y 2.26
O: 0.5000 0.5000 0.5000  4 Y 2.26
Y: 0.5000 0.0000 0.2899  4 O 2.26, 4 F 2.51
Y: 0.0000 0.5000 0.7101  4 O 2.26, 4 F 2.51

---

No. 3
The following is a PBE calculation of YOF3 after structural relaxation, from Alexandria.

Calculated density (g/cm3): 3.157
VASP energy (eV per atom): -6.030
Distance to the lowest polymorph of the same formula (meV per atom): 57
Symmetry: No. 221
Magnetization (μB per formula unit): 2.00

Cell: 4.3996 4.3996 4.3996 Å, 90.00 90.00 90.00°
Last column: nearest neighbours and their distance in Å.
Fractional positions:
Y: 0.0000 0.0000 0.0000  6 F 2.20
O: 0.5000 0.5000 0.5000  12 F 3.11
F: 0.0000 0.5000 0.0000  2 Y 2.20
F: 0.0000 0.0000 0.5000  2 Y 2.20
F: 0.5000 0.0000 0.0000  2 Y 2.20

---

No. 4
The following is a PBE calculation of YO2F after structural relaxation, from Alexandria.

Calculated density (g/cm3): 5.161
VASP energy (eV per atom): -6.529
Distance to the lowest polymorph of the same formula (meV per atom): 320
Symmetry: No. 166
Magnetization (μB per formula unit): 2.00

Cell: 3.9739 3.9739 3.9739 Å, 60.64 60.64 60.64°
Last column: nearest neighbours and their distance in Å.
Fractional positions:
Y: 0.0000 0.0000 0.0000  8 O 2.42-2.52
O: 0.7403 0.7403 0.7403  4 F 2.33-2.49, 4 Y 2.42-2.52
O: 0.2597 0.2597 0.2597  4 F 2.33-2.49, 4 Y 2.42-2.52
F: 0.5000 0.5000 0.5000  8 O 2.33-2.49